(1)
AgAuSe2 | GGA-PBEsol | optimized geometry

Cell lengths 5.965, 5.965, 5.965 Å; angles 142.41, 137.54, 57.99 degrees
Sites, in units of the cell vectors:
Ag1 0.000 0.000 0.000
Au1 0.500 0.500 0.000
Se1 0.339 0.839 0.500
Se2 0.661 0.161 0.500

formation energy from raw total energies = 0.0097 eV per atom
total energy = -14.90 eV for the cell shown
D(E_F) = 0.95 states/eV per cell



(2)
AgAuSe2 | GGA-PBEsol | optimized geometry

Cell lengths 6.808, 6.808, 6.808 Å; angles 149.86, 149.47, 43.44 degrees
Sites, in units of the cell vectors:
Ag1 0.000 0.000 0.000
Au1 0.750 0.250 0.500
Se1 0.340 0.840 0.500
Se2 0.596 0.596 0.000

formation energy from raw total energies = 0.1758 eV per atom
total energy = -14.23 eV for the cell shown
D(E_F) = 1.71 states/eV per cell



(3)
AgAuSe2 | GGA-PBEsol | optimized geometry

Cell lengths 4.345, 4.345, 7.192 Å; angles 90.38, 90.38, 37.94 degrees
Sites, in units of the cell vectors:
Ag1 0.000 0.000 0.000
Au1 0.500 0.500 0.500
Se1 0.312 0.312 0.235
Se2 0.688 0.688 0.765

formation energy from raw total energies = 0.0300 eV per atom
total energy = -14.82 eV for the cell shown
D(E_F) = 1.67 states/eV per cell



(4)
Ta2AgAuSe | GGA-PBEsol | optimized geometry

Cell lengths 4.935, 4.935, 4.959 Å; angles 90.00, 90.00, 90.00 degrees
Sites, in units of the cell vectors:
Ta1 0.000 0.500 0.000
Ta2 0.500 0.000 0.000
Ag1 0.000 0.000 0.500
Au1 0.500 0.500 0.000
Se1 0.500 0.500 0.500

formation energy from raw total energies = 1.7465 eV per atom
total energy = -27.46 eV for the cell shown
D(E_F) = 4.40 states/eV per cell



(5)
Si2AgAu | GGA-PBEsol | optimized geometry

Cell lengths 4.341, 4.341, 5.253 Å; angles 101.53, 101.53, 41.70 degrees
Sites, in units of the cell vectors:
Si1 0.247 0.247 0.249
Si2 0.753 0.753 0.751
Ag1 0.000 0.000 0.500
Au1 0.500 0.500 0.000

formation energy from raw total energies = 0.1679 eV per atom
total energy = -18.06 eV for the cell shown
D(E_F) = 1.24 states/eV per cell



(6)
Si3AgAu | GGA-PBEsol | optimized geometry

Cell lengths 4.783, 4.783, 4.783 Å; angles 90.00, 90.00, 90.00 degrees
Sites, in units of the cell vectors:
Si1 0.000 0.000 0.500
Si2 0.000 0.500 0.000
Si3 0.500 0.000 0.000
Ag1 0.500 0.500 0.500
Au1 0.000 0.000 0.000

formation energy from raw total energies = 1.0109 eV per atom
total energy = -19.42 eV for the cell shown
D(E_F) = 2.82 states/eV per cell



(7)
SiAg2Au | GGA-PBEsol | optimized geometry

Cell lengths 4.517, 4.517, 4.517 Å; angles 60.00, 60.00, 60.00 degrees
Sites, in units of the cell vectors:
Si1 0.000 0.000 0.000
Ag1 0.500 0.500 0.500
Ag2 0.750 0.750 0.750
Au1 0.250 0.250 0.250

formation energy from raw total energies = 0.0974 eV per atom
total energy = -15.90 eV for the cell shown
D(E_F) = 0.94 states/eV per cell



(8)
SiAgAu2 | GGA-PBEsol | optimized geometry

Cell lengths 8.891, 8.891, 8.891 Å; angles 19.00, 19.00, 19.00 degrees
Sites, in units of the cell vectors:
Si1 0.000 0.000 0.000
Ag1 0.746 0.746 0.746
Au1 0.258 0.258 0.258
Au2 0.501 0.501 0.501

formation energy from raw total energies = 0.0677 eV per atom
total energy = -16.64 eV for the cell shown
D(E_F) = 1.51 states/eV per cell



The lowest total energy belongs to which entry? Ta2AgAuSe



Repeat the seventh record exactly.
SiAg2Au | GGA-PBEsol | optimized geometry

Cell lengths 4.517, 4.517, 4.517 Å; angles 60.00, 60.00, 60.00 degrees
Sites, in units of the cell vectors:
Si1 0.000 0.000 0.000
Ag1 0.500 0.500 0.500
Ag2 0.750 0.750 0.750
Au1 0.250 0.250 0.250

formation energy from raw total energies = 0.0974 eV per atom
total energy = -15.90 eV for the cell shown
D(E_F) = 0.94 states/eV per cell



total energy of number 8 (SiAgAu2)? -16.64 eV for the cell shown



Which formula does entry 1 have? AgAuSe2